VASP calculation (PBE) on an optimized crystal structure of Cu3As5.

The structure in CIF format:
```
data_Cu3As5
_chemical_formula_sum 'Cu12 As20'
_symmetry_space_group_name_H-M 'C 1 m 1'
_symmetry_Int_Tables_number 8
_symmetry_space_group_name_Hall 'C -2y'
_cell_length_a 5.609
_cell_length_b 14.100
_cell_length_c 7.463
_cell_angle_alpha 90.00
_cell_angle_beta 105.17
_cell_angle_gamma 90.00
loop_
_atom_site_label
_atom_site_fract_x
_atom_site_fract_y
_atom_site_fract_z
_atom_site_occupancy
Cu1 0.000 0.000 0.000 1
Cu2 0.002 0.500 0.999 1
Cu3 0.147 0.246 0.976 1
Cu4 0.250 0.250 0.499 1
As1 0.132 0.369 0.236 1
As2 0.189 0.132 0.237 1
As3 0.229 0.000 0.493 1
As4 0.282 0.500 0.488 1
As5 0.321 0.367 0.766 1
As6 0.372 0.131 0.765 1
```

Output
Offset from the most stable computed form, meV per atom: 0.0
Formation energy, eV per atom: 0.16
Electronic total energy, eV per cell: -136.908
Fermi-level density of states, states/eV/cell: 9.287
Volume, Å³ per cell: 569.69

---

VASP calculation (PBE) on an optimized crystal structure of Cu2As3.

The structure in CIF format:
```
data_Cu2As3
_chemical_formula_sum 'Cu12 As18'
_symmetry_space_group_name_H-M 'R -3 c'
_symmetry_Int_Tables_number 167
_symmetry_space_group_name_Hall '-R 3 2"c'
_cell_length_a 6.6181
_cell_length_b 6.6181
_cell_length_c 13.9148
_cell_angle_alpha 90.00
_cell_angle_beta 90.00
_cell_angle_gamma 120.00
loop_
_atom_site_label
_atom_site_fract_x
_atom_site_fract_y
_atom_site_fract_z
_atom_site_occupancy
Cu1 0.0000 0.0000 0.1575 1
As1 0.0003 0.3333 0.0833 1
```

Output
Formation energy, eV per atom: 0.14
Electronic total energy, eV per cell: -128.757
Fermi-level density of states, states/eV/cell: 12.910
Volume, Å³ per cell: 527.80

---

VASP calculation (PBE) on an optimized crystal structure of Cu5As4.

The structure in CIF format:
```
data_Cu5As4
_chemical_formula_sum 'Cu10 As8'
_symmetry_space_group_name_H-M 'I 4/m m m'
_symmetry_Int_Tables_number 139
_symmetry_space_group_name_Hall '-I 4 2'
_cell_length_a 8.458
_cell_length_b 8.458
_cell_length_c 3.847
_cell_angle_alpha 90.00
_cell_angle_beta 90.00
_cell_angle_gamma 90.00
loop_
_atom_site_label
_atom_site_fract_x
_atom_site_fract_y
_atom_site_fract_z
_atom_site_occupancy
Cu1 0.000 0.000 0.000 1
Cu2 0.162 0.162 0.500 1
As1 0.000 0.293 0.000 1
```

Output
Offset from the most stable computed form, meV per atom: 0.0
Formation energy, eV per atom: 0.10
Electronic total energy, eV per cell: -76.275
Fermi-level density of states, states/eV/cell: 5.557
Volume, Å³ per cell: 275.21

---

VASP calculation (PBE) on an optimized crystal structure of CuAs3.

The structure in CIF format:
```
data_CuAs3
_chemical_formula_sum 'Cu2 As6'
_symmetry_space_group_name_H-M 'P m -3 n'
_symmetry_Int_Tables_number 223
_symmetry_space_group_name_Hall '-P 4n 2 3'
_cell_length_a 5.231
_cell_length_b 5.231
_cell_length_c 5.231
_cell_angle_alpha 90.00
_cell_angle_beta 90.00
_cell_angle_gamma 90.00
loop_
_atom_site_label
_atom_site_fract_x
_atom_site_fract_y
_atom_site_fract_z
_atom_site_occupancy
Cu1 0.000 0.000 0.000 1
As1 0.000 0.250 0.500 1
```

Output
Offset from the most stable computed form, meV per atom: 353.9
Formation energy, eV per atom: 0.50
Electronic total energy, eV per cell: -32.095
Fermi-level density of states, states/eV/cell: 5.169
Volume, Å³ per cell: 143.17

---

VASP calculation (PBE) on an optimized crystal structure of Cu7As3.

The structure in CIF format:
```
data_Cu7As3
_chemical_formula_sum 'Cu14 As6'
_symmetry_space_group_name_H-M 'C 1 2/m 1'
_symmetry_Int_Tables_number 12
_symmetry_space_group_name_Hall '-C 2y'
_cell_length_a 13.417
_cell_length_b 3.797
_cell_length_c 5.572
_cell_angle_alpha 90.00
_cell_angle_beta 104.03
_cell_angle_gamma 90.00
loop_
_atom_site_label
_atom_site_fract_x
_atom_site_fract_y
_atom_site_fract_z
_atom_site_occupancy
Cu1 0.000 0.000 0.000 1
Cu2 0.098 0.500 0.294 1
Cu3 0.101 0.500 0.805 1
Cu4 0.199 0.000 0.606 1
As1 0.000 0.000 0.500 1
As2 0.195 0.000 0.145 1
```

Output
Formation energy, eV per atom: 0.07
Electronic total energy, eV per cell: -83.810
Fermi-level density of states, states/eV/cell: 7.128
Volume, Å³ per cell: 275.39

---

VASP calculation (PBE) on an optimized crystal structure of CuAs3.

The structure in CIF format:
```
data_CuAs3
_chemical_formula_sum 'Cu2 As6'
_symmetry_space_group_name_H-M 'I 4/m m m'
_symmetry_Int_Tables_number 139
_symmetry_space_group_name_Hall '-I 4 2'
_cell_length_a 4.475
_cell_length_b 4.475
_cell_length_c 7.038
_cell_angle_alpha 90.00
_cell_angle_beta 90.00
_cell_angle_gamma 90.00
loop_
_atom_site_label
_atom_site_fract_x
_atom_site_fract_y
_atom_site_fract_z
_atom_site_occupancy
Cu1 0.000 0.000 0.000 1
As1 0.000 0.000 0.500 1
As2 0.000 0.500 0.250 1
```

Output
Offset from the most stable computed form, meV per atom: 284.5
Formation energy, eV per atom: 0.43
Electronic total energy, eV per cell: -32.650
Fermi-level density of states, states/eV/cell: 4.203
Volume, Å³ per cell: 140.96

---

VASP calculation (PBE) on an optimized crystal structure of CuAs2.

The structure in CIF format:
```
data_CuAs2
_chemical_formula_sum 'Cu1 As2'
_symmetry_space_group_name_H-M 'P 4/m m m'
_symmetry_Int_Tables_number 123
_symmetry_space_group_name_Hall '-P 4 2'
_cell_length_a 3.910
_cell_length_b 3.910
_cell_length_c 3.639
_cell_angle_alpha 90.00
_cell_angle_beta 90.00
_cell_angle_gamma 90.00
loop_
_atom_site_label
_atom_site_fract_x
_atom_site_fract_y
_atom_site_fract_z
_atom_site_occupancy
Cu1 0.000 0.000 0.000 1
As1 0.000 0.500 0.500 1
```

Output
Formation energy, eV per atom: 0.21
Electronic total energy, eV per cell: -12.753
Fermi-level density of states, states/eV/cell: 1.580
Volume, Å³ per cell: 55.63

---

VASP calculation (PBE) on an optimized crystal structure of CuAs3.

The structure in CIF format:
```
data_CuAs3
_chemical_formula_sum 'Cu3 As9'
_symmetry_space_group_name_H-M 'R -3 m'
_symmetry_Int_Tables_number 166
_symmetry_space_group_name_Hall '-R 3 2"'
_cell_length_a 8.8445
_cell_length_b 8.8445
_cell_length_c 3.1241
_cell_angle_alpha 90.00
_cell_angle_beta 90.00
_cell_angle_gamma 120.00
loop_
_atom_site_label
_atom_site_fract_x
_atom_site_fract_y
_atom_site_fract_z
_atom_site_occupancy
Cu1 0.0000 0.0000 0.0000 1
As1 0.0000 0.5000 0.0000 1
```

Output
Offset from the most stable computed form, meV per atom: 266.5
Formation energy, eV per atom: 0.41
Electronic total energy, eV per cell: -49.192
Fermi-level density of states, states/eV/cell: 5.275
Volume, Å³ per cell: 211.64